{"formula": "Ce6ErSe8", "functional": "PBE", "state": "relaxed", "lattice_angstrom": [[7.2573, 0.0000, 4.1900], [2.4191, 6.8423, 4.1900], [0.0000, 0.0000, 8.3800]], "species": ["Ce", "Ce", "Ce", "Ce", "Ce", "Ce", "Er", "Se", "Se", "Se", "Se", "Se", "Se", "Se", "Se"], "fractional_positions": [[0.0000, 0.5000, 0.5000], [0.5000, 0.0000, 0.0000], [0.5000, 0.5000, 0.0000], [0.0000, 0.0000, 0.5000], [0.0000, 0.5000, 0.0000], [0.5000, 0.0000, 0.5000], [0.0000, 0.0000, 0.0000], [0.7500, 0.7500, 0.7500], [0.2500, 0.2500, 0.2500], [0.7555, 0.2445, 0.2445], [0.2445, 0.7555, 0.7555], [0.2445, 0.2445, 0.7555], [0.7555, 0.7555, 0.2445], [0.7555, 0.2445, 0.7555], [0.2445, 0.7555, 0.2445]], "raw_formation_energy_mev_per_atom": -1830, "e_tot_ev_per_atom": -6.366, "dos_at_fermi_per_ev_cell": 37.39, "vol_a3_per_atom": 27.74, "space_group": "Fm-3m, No. 225", "total_magnetization_mub_per_fu": 6.85}